(a)
A geometry-optimized Be2Zn2Co structure. Source: the Alexandria database, functional PBE.

abc: 6.576 6.576 2.582
angles: 90.00 90.00 90.00
Space group P4/mbm (No. 127)
One atom of each set of equivalent atoms:
Be  0.166  0.334  0.000 [4 per cell]
Zn  0.136  0.636  0.500 [4 per cell]
Co  0.000  0.000  0.500 [2 per cell]

(b)
A geometry-optimized Be2Zn2Co structure. Source: the Alexandria database, functional PBE.

abc: 6.195 6.195 2.803
angles: 90.00 90.00 90.00
Space group P4/mbm (No. 127)
One atom of each set of equivalent atoms:
Be  0.129  0.371  0.000 [4 per cell]
Zn  0.170  0.670  0.500 [4 per cell]
Co  0.000  0.000  0.000 [2 per cell]

The most stable of them is (b).

(a)
A geometry-optimized Be2ZnCo2 structure. Source: the Alexandria database, functional PBE.

abc: 5.975 5.975 2.716
angles: 90.00 90.00 90.00
Space group P4/mbm (No. 127)
One atom of each set of equivalent atoms:
Be  0.126  0.374  0.000 [4 per cell]
Zn  0.000  0.000  0.000 [2 per cell]
Co  0.165  0.665  0.500 [4 per cell]

(b)
A geometry-optimized Be2ZnCo2 structure. Source: the Alexandria database, functional PBE.

abc: 6.192 6.192 2.661
angles: 90.00 90.00 90.00
Space group P4/mbm (No. 127)
One atom of each set of equivalent atoms:
Be  0.153  0.347  0.000 [4 per cell]
Zn  0.000  0.000  0.500 [2 per cell]
Co  0.140  0.640  0.500 [4 per cell]

(c)
A geometry-optimized Be2ZnCo2 structure. Source: the Alexandria database, functional PBE.

abc: 2.872 2.872 12.731
angles: 90.00 90.00 90.00
Space group I4/mmm (No. 139)
One atom of each set of equivalent atoms:
Be  0.000  0.500  0.250 [4 per cell]
Zn  0.000  0.000  0.000 [2 per cell]
Co  0.000  0.000  0.384 [4 per cell]

(d)
A geometry-optimized Be2ZnCo2 structure. Source: the Alexandria database, functional PBE.

abc: 3.892 3.892 7.096
angles: 90.00 90.00 90.00
Space group I4/mmm (No. 139)
One atom of each set of equivalent atoms:
Be  0.000  0.000  0.148 [4 per cell]
Zn  0.000  0.000  0.500 [2 per cell]
Co  0.000  0.500  0.250 [4 per cell]

The most stable of them is (a).